# Ni2Ag2O5

An optimized crystal structure of Ni2Ag2O5 (PBE with a Hubbard U, the Alexandria database).

Its calculated total energy is -4.24 eV/atom. As for the density: 6524 kg/m3. The calculation puts the total magnetization at 14.2 Bohr magnetons per cell.

The space group is Fmmm (No. 69) and the conventional cell measures 5.756, 6.711 and 10.889 Å, with angles of 90.00, 90.00 and 90.00 degrees. The distinct sites, in fractional coordinates, are Ni at (0.250, 0.250, 0.000), Ag at (0.000, 0.000, 0.237), O at (0.000, 0.000, 0.000) and O at (0.000, 0.217, 0.371).